# CaNiNF2, relaxed, DFT PBE+U
# DOS(E_F), states/eV per cell: 1.91
# Space group: P4/mmm, No. 123
# Energy above the most stable polymorph in this dataset, meV/atom: 0
data_CaNiNF2
_symmetry_space_group_name_H-M 'P 1'
_symmetry_Int_Tables_number 1
_symmetry_space_group_name_Hall 'P 1'
_cell_length_a 3.972
_cell_length_b 3.972
_cell_length_c 3.961
_cell_angle_alpha 90.00
_cell_angle_beta 90.00
_cell_angle_gamma 90.00
loop_
_atom_site_label
_atom_site_type_symbol
_atom_site_fract_x
_atom_site_fract_y
_atom_site_fract_z
_atom_site_occupancy
Ca1 Ca 0.000 0.000 0.000 1
Ni1 Ni 0.500 0.500 0.500 1
N1 N 0.500 0.500 0.000 1
F1 F 0.000 0.500 0.500 1
F2 F 0.500 0.000 0.500 1